The following is a PBE calculation of crystalline BaCaY2Pt at its relaxed geometry, from the Alexandria database.

Fermi-level density of states: 4.8 states/eV per cell
ΔE_f: -429 meV per atom
spin magnetization: 0.0 μB/f.u.

Lattice parameters (Å, degrees): 5.573 5.573 5.862 90.00 90.00 90.00
Space group P4/mmm (No. 123)
Unique sites:
Ba 0.000 0.000 0.000
Ca 0.500 0.500 0.000
Y 0.000 0.500 0.500
Pt 0.500 0.500 0.500

***

The following is a PBE calculation of crystalline Ba2CaZnPt at its relaxed geometry, from the Alexandria database.

Fermi-level density of states: 2.7 states/eV per cell
ΔE_f: -325 meV per atom
spin magnetization: 0.0 μB/f.u.

Lattice parameters (Å, degrees): 6.190 6.190 5.547 90.00 90.00 90.00
Space group P4/mmm (No. 123)
Unique sites:
Ba 0.000 0.500 0.000
Ca 0.000 0.000 0.500
Zn 0.500 0.500 0.500
Pt 0.000 0.000 0.000

***

Result set for E_tot: -25.039; -14.789 eV/f.u., one per record in the order listed.